Cs2HoCoO4: relaxed, PBE+U.

Cell lengths 5.6510, 12.9246, 23.2868 Å; angles 90.00, 90.00, 90.00 degrees
Space group Fddd (No. 70, origin choice 2)
Symmetry-distinct sites (fractional):
Cs1 0.1250 0.1250 0.3069 (multiplicity 16)
Ho1 0.1250 0.1250 0.1250 (multiplicity 8)
Co1 0.1250 0.1250 0.6250 (multiplicity 8)
O1 0.0979 0.2890 0.8366 (multiplicity 32)

- total magnetization (Bohr magnetons per cell) = 32.3
- VASP energy (eV per atom) = -5.598